Sb2TeRuI | GGA-PBE | optimized geometry

a = 5.7723 Å, b = 5.7723 Å, c = 5.7787 Å
α = 90.00°, β = 90.00°, γ = 90.00°
Last column: nearest neighbours and their distance in Å.
Space group P4/mmm (No. 123)
Inequivalent atoms, fractional coordinates:
1 Sb 0.0000 0.5000 0.0000 [2 per cell]  2 Te 2.89
2 Te 0.0000 0.0000 0.0000 [1 per cell]  4 Sb 2.89, 2 I 2.89
3 Ru 0.5000 0.5000 0.5000 [1 per cell]  4 I 4.08, 8 Sb 4.08
4 I 0.0000 0.0000 0.5000 [1 per cell]  2 Te 2.89

Summary:
**Raw formation energy**: 1.568 eV/atom
**Magnetization**: 2.832 μB per formula unit
**Theoretical density**: 5.167 g/cm³


Mg2Ti2W | GGA-PBE | optimized geometry

a = 7.5876 Å, b = 7.5876 Å, c = 3.0600 Å
α = 90.00°, β = 90.00°, γ = 90.00°
Last column: nearest neighbours and their distance in Å.
Space group P4/mbm (No. 127)
Inequivalent atoms, fractional coordinates:
1 Mg 0.1573 0.3427 0.0000 [4 per cell]  6 Ti 2.63-2.75
2 Ti 0.1438 0.6438 0.5000 [4 per cell]  6 Mg 2.63-2.75, 2 W 2.91
3 W 0.0000 0.0000 0.5000 [2 per cell]  4 Ti 2.91, 2 W 3.06, 8 Mg 3.24

Summary:
**Formation energy from the elements**: 0.65 eV/atom
**Magnetization**: 0.000 μB per formula unit
**Theoretical density**: 6.187 g/cm³


SiSbI2 | GGA-PBE | optimized geometry

a = 11.3201 Å, b = 11.3201 Å, c = 5.3600 Å
α = 90.00°, β = 90.00°, γ = 90.00°
Last column: nearest neighbours and their distance in Å.
Space group I-42d (No. 122)
Inequivalent atoms, fractional coordinates:
1 Si 0.0000 0.0000 0.0000 [4 per cell]  2 Sb 2.68, 4 I 2.91
2 Sb 0.0000 0.0000 0.5000 [4 per cell]  2 Si 2.68
3 I 0.0019 0.7500 0.1250 [8 per cell]  2 Si 2.91

Summary:
**Raw formation energy**: 0.364 eV/atom
**Magnetization**: 0.000 μB per formula unit
**Theoretical density**: 3.904 g/cm³


Dy2ZrTl3S6 | GGA-PBE | optimized geometry

a = 6.7244 Å, b = 11.6673 Å, c = 8.3048 Å
α = 90.00°, β = 106.34°, γ = 90.00°
Last column: nearest neighbours and their distance in Å.
Space group C2/m (No. 12)
Inequivalent atoms, fractional coordinates:
1 Dy 0.0000 0.1665 0.0000 [4 per cell]  6 S 2.74
2 Zr 0.0000 0.5000 0.0000 [2 per cell]  6 S 2.61
3 Tl 0.0000 0.0000 0.5000 [2 per cell]  6 S 3.31-3.45
4 Tl 0.0000 0.3319 0.5000 [4 per cell]  6 S 3.31-3.40
5 S 0.2236 0.3409 0.1868 [8 per cell]  1 Zr 2.61, 2 Dy 2.74
6 S 0.2471 0.0000 0.1883 [4 per cell]  1 Zr 2.61, 2 Dy 2.74

Summary:
**Raw formation energy**: -1.335 eV/atom
**Magnetization**: 0.000 μB per formula unit
**Theoretical density**: 6.490 g/cm³


Tb3Pm4Dy | GGA-PBE | optimized geometry

a = 11.5679 Å, b = 7.3227 Å, c = 6.3221 Å
α = 90.00°, β = 90.00°, γ = 90.00°
Last column: nearest neighbours and their distance in Å.
Space group Pmn2_1 (No. 31)
Inequivalent atoms, fractional coordinates:
1 Tb 0.0000 0.1226 0.0000 [2 per cell]  4 Tb 3.57, 6 Pm 3.59-3.69, 2 Dy 3.64
2 Tb 0.2499 0.1228 0.3326 [4 per cell]  2 Dy 3.57-3.58, 4 Tb 3.57-3.64, 6 Pm 3.58-3.69
3 Pm 0.0000 0.3731 0.5000 [2 per cell]  6 Pm 3.58-3.67, 4 Tb 3.58-3.65, 2 Dy 3.63-3.69
4 Pm 0.0000 0.6267 0.9993 [2 per cell]  6 Pm 3.58-3.67, 4 Tb 3.58-3.69, 2 Dy 3.65-3.66
5 Pm 0.2503 0.3730 0.8331 [4 per cell]  6 Pm 3.58-3.67, 1 Dy 3.58, 5 Tb 3.59-3.69
6 Dy 0.0000 0.8772 0.5001 [2 per cell]  6 Tb 3.57-3.64, 6 Pm 3.58-3.69

Summary:
**Formation energy from the elements**: 0.03 eV/atom
**Magnetization**: 0.001 μB per formula unit
**Theoretical density**: 7.561 g/cm³


BaInCoB2 | GGA-PBE | optimized geometry

a = 4.6239 Å, b = 4.6239 Å, c = 4.9879 Å
α = 90.00°, β = 90.00°, γ = 90.00°
Last column: nearest neighbours and their distance in Å.
Space group P4/mmm (No. 123)
Inequivalent atoms, fractional coordinates:
1 Ba 0.0000 0.0000 0.0000 [1 per cell]  4 Co 3.27, 8 B 3.40
2 In 0.5000 0.5000 0.5000 [1 per cell]  4 B 2.31, 2 Co 2.49
3 Co 0.5000 0.5000 0.0000 [1 per cell]  2 In 2.49
4 B 0.0000 0.5000 0.5000 [2 per cell]  2 In 2.31

Summary:
**Formation energy from the elements**: 1.38 eV/atom
**Magnetization**: 0.847 μB per formula unit
**Theoretical density**: 5.181 g/cm³


Tl3VRh | GGA-PBE | optimized geometry

a = 5.2275 Å, b = 5.2275 Å, c = 5.2275 Å
α = 90.00°, β = 90.00°, γ = 90.00°
Last column: nearest neighbours and their distance in Å.
Space group Pm-3m (No. 221)
Inequivalent atoms, fractional coordinates:
1 Tl 0.0000 0.0000 0.5000 [3 per cell]  2 Rh 2.61
2 V 0.5000 0.5000 0.5000 [1 per cell]  12 Tl 3.70
3 Rh 0.0000 0.0000 0.0000 [1 per cell]  6 Tl 2.61

Summary:
**Formation energy from the elements**: 0.69 eV/atom
**Magnetization**: 4.382 μB per formula unit
**Theoretical density**: 8.916 g/cm³


PmNdAl2Zn2 | GGA-PBE | optimized geometry

a = 4.5508 Å, b = 4.5508 Å, c = 7.5372 Å
α = 90.00°, β = 90.00°, γ = 120.00°
Last column: nearest neighbours and their distance in Å.
Space group P-3m1 (No. 164)
Inequivalent atoms, fractional coordinates:
1 Pm 0.0000 0.0000 0.0000 [1 per cell]  6 Zn 3.19, 6 Al 3.20
2 Nd 0.0000 0.0000 0.5000 [1 per cell]  6 Al 3.27, 6 Zn 3.28
3 Al 0.3333 0.6667 0.2422 [2 per cell]  3 Zn 2.63
4 Zn 0.3333 0.6667 0.7611 [2 per cell]  3 Al 2.63

Summary:
**Formation energy from the elements**: -0.43 eV/atom
**Magnetization**: 0.000 μB per formula unit
**Theoretical density**: 5.823 g/cm³


E_tot across the listed records, respectively: -14.4, -57.4, -44.8, -131.3, -74.6, -18.2, -20.1, -22.1 eV per cell.